This record from the Alexandria database describes a relaxed LaCdW crystal. The functional is GGA-PBE.

a b c (Å): 5.038 5.038 5.038
angles (deg): 60.00 60.00 60.00
Element x y z (fractional)
La1 0.000 0.000 0.000
Cd1 0.750 0.750 0.750
W1 0.250 0.250 0.250

Computed properties:
DFT total energy: -4.78 eV/atom
Polymorph energy (0 for the lowest one): 0.937 eV per atom